Density functional theory data (GGA-PBE) for crystalline MgSb2Se at its relaxed geometry.

Output
Energy relative to the lowest polymorph listed for this composition (kJ per mole of atoms): 22.1
Formation energy from raw total energies (eV/atom): -0.112
Crystal system: orthorhombic
E (eV for the cell shown): -13.77
Symmetry: Cmmm (65)
Calculated density (Mg/m³): 5.5
Volume (Å³ per cell): 105.2

Cell lengths 5.5159, 5.5159, 3.7731 Å; angles 90.00, 90.00, 113.54 degrees
Closest atoms and distances in Å follow each position.
Positions (direct):
Mg 0.0000 0.0000 0.0000  4 Sb 3.01, 2 Se 3.02
Sb 0.2540 0.7460 0.5000  2 Se 2.95, 2 Mg 3.01, 2 Sb 3.02
Sb 0.7460 0.2540 0.5000  2 Se 2.95, 2 Mg 3.01, 2 Sb 3.02
Se 0.5000 0.5000 0.0000  4 Sb 2.95, 2 Mg 3.02